Below is a relaxed structure of Ge2RhAu2, with properties calculated at the PBE-GGA level. Values from VASP.

Quantum ESPRESSO input file:
```
&SYSTEM
  ibrav = 0, nat = 5, ntyp = 3
/
ATOMIC_SPECIES
Ge 72.64 Ge.upf
Rh 102.91 Rh.upf
Au 196.97 Au.upf
CELL_PARAMETERS angstrom
-1.847 1.847 6.970
1.847 -1.847 6.970
1.847 1.847 -6.970
ATOMIC_POSITIONS angstrom
Ge 0.000 0.000 1.277
Ge 0.000 0.000 12.662
Rh 0.000 0.000 6.970
Au 1.847 0.000 3.485
Au 0.000 1.847 3.485
```

Results
- ρ: 11211 kg/m3
- Space-group type: I4/mmm
- E_tot: -4.3251 eV per atom
- Formation energy: 0.303 eV per atom